# 1
# MoAs2Au

A geometry-optimized MoAs2Au structure (PBEsol, Alexandria via LeMat-Bulk).

```
MoAs2Au
1.0
-2.932 -3.368 0.802
-0.637 -1.493 4.236
-3.906 0.855 2.144
Mo Au As
1 1 2
Direct
0.500 0.500 0.500
0.000 0.000 0.000
0.250 0.250 0.250
0.750 0.750 0.750
```

Output
energy of formation from the pure elements: 0.404 eV per atom

# 2
# BaLiTl2

A geometry-optimized BaLiTl2 structure (PBEsol, Alexandria via LeMat-Bulk).

```
BaLiTl2
1.0
5.466 0.000 0.000
2.733 4.746 0.055
2.733 1.524 4.495
Tl Ba Li
2 1 1
Direct
0.999 0.001 0.001
0.749 0.751 0.751
0.500 0.500 0.500
0.251 0.249 0.249
```

Output
energy of formation from the pure elements: -0.283 eV per atom

# 3
# Re3AgAs

A geometry-optimized Re3AgAs structure (PBEsol, Alexandria via LeMat-Bulk).

```
Re3AgAs
1.0
-0.991 2.417 -3.656
-0.809 -3.784 -2.283
-4.307 0.154 1.270
Re As Ag
3 1 1
Direct
0.000 0.500 0.000
0.000 0.000 0.500
0.500 0.000 0.000
0.000 0.000 0.000
0.500 0.500 0.500
```

Output
energy of formation from the pure elements: 1.805 eV per atom

# 4
# AlSiRu2

A geometry-optimized AlSiRu2 structure (PBEsol, Alexandria via LeMat-Bulk).

```
AlSiRu2
1.0
-1.370 -2.210 -1.346
2.551 -0.900 -1.120
0.869 -3.418 4.728
Ru Si Al
2 1 1
Direct
0.000 0.000 0.763
0.000 0.000 0.237
0.500 0.500 0.000
0.500 0.500 0.500
```

Output
E_form (uncorrected): -0.739 eV/atom

# 5
# SbTePtAu2

A geometry-optimized SbTePtAu2 structure (PBEsol, Alexandria via LeMat-Bulk).

```
SbTePtAu2
1.0
4.912 0.000 0.000
0.000 4.912 0.000
0.000 0.000 5.934
Sb Te Au Pt
1 1 2 1
Direct
0.000 0.000 0.500
0.000 0.000 0.000
0.000 0.500 0.000
0.500 0.000 0.000
0.500 0.500 0.500
```

Output
E_form (uncorrected): 1.225 eV/atom

# 6
# BaIn2Fe

A geometry-optimized BaIn2Fe structure (PBEsol, Alexandria via LeMat-Bulk).

```
BaIn2Fe
1.0
-3.556 -2.725 -0.475
0.475 0.160 -4.474
3.102 -4.080 0.183
Ba Fe In
1 1 2
Direct
0.500 0.000 0.500
0.000 0.500 0.500
0.000 0.000 0.000
0.500 0.500 0.000
```

Output
energy of formation from the pure elements: 0.396 eV per atom

# 7
# ZnFeRe2S

A geometry-optimized ZnFeRe2S structure (PBEsol, Alexandria via LeMat-Bulk).

```
ZnFeRe2S
1.0
4.208 0.000 0.000
0.000 4.529 0.000
0.000 0.000 4.529
S Re Zn Fe
1 2 1 1
Direct
0.500 0.500 0.500
0.000 0.000 0.500
0.000 0.500 0.000
0.000 0.000 0.000
0.500 0.000 0.000
```

Output
E_form (uncorrected): 2.217 eV/atom

# 8
# La2CoO4

A geometry-optimized La2CoO4 structure (PBEsol, Alexandria via LeMat-Bulk).

```
La2CoO4
1.0
-4.139 3.121 -1.097
0.256 -1.481 -5.180
-1.869 -6.369 1.728
La Co O
4 2 8
Direct
0.137 0.491 0.274
0.863 0.509 0.726
0.363 0.991 0.726
0.637 0.009 0.274
0.500 0.500 0.000
0.000 0.000 0.000
0.322 0.534 0.644
0.678 0.466 0.356
0.178 0.034 0.356
0.822 0.966 0.644
0.739 0.250 0.978
0.761 0.750 0.022
0.239 0.250 0.978
0.261 0.750 0.022
```

Output
E_form (uncorrected): -2.661 eV/atom

# 9
# KTl2Si

A geometry-optimized KTl2Si structure (PBEsol, Alexandria via LeMat-Bulk).

```
KTl2Si
1.0
-0.901 0.180 3.097
4.548 -3.611 1.532
1.298 5.849 0.038
K Si Tl
1 1 2
Direct
0.500 0.000 0.500
0.000 0.500 0.500
0.000 0.000 0.000
0.500 0.500 0.000
```

Output
E_form (uncorrected): 0.314 eV/atom

# 10
# MnTlBiPt2

A geometry-optimized MnTlBiPt2 structure (PBEsol, Alexandria via LeMat-Bulk).

```
MnTlBiPt2
1.0
-1.899 0.593 4.641
2.883 -3.796 1.665
4.079 3.627 1.206
Tl Mn Bi Pt
1 1 1 2
Direct
0.000 0.000 0.500
0.500 0.500 0.500
0.000 0.000 0.000
0.000 0.500 0.000
0.500 0.000 0.000
```

Output
energy of formation from the pure elements: 1.317 eV per atom

# 11
# CaAs2Br

A geometry-optimized CaAs2Br structure (PBEsol, Alexandria via LeMat-Bulk).

```
CaAs2Br
1.0
3.235 0.000 0.000
0.000 5.234 0.000
0.000 0.000 5.234
As Ca Br
2 1 1
Direct
0.000 0.000 0.500
0.000 0.500 0.000
0.500 0.000 0.000
0.500 0.500 0.500
```

Output
E_form (uncorrected): -0.200 eV/atom

# 12
# Fe2PtCl

A geometry-optimized Fe2PtCl structure (PBEsol, Alexandria via LeMat-Bulk).

```
Fe2PtCl
1.0
-0.919 1.204 2.367
-4.376 -1.065 0.511
0.991 -4.161 4.169
Fe Pt Cl
2 1 1
Direct
0.303 0.556 0.838
0.697 0.444 0.162
0.500 0.000 0.000
0.000 0.500 0.500
```

Output
E_form (uncorrected): 0.171 eV/atom

# 13
# Sn3PtO

A geometry-optimized Sn3PtO structure (PBEsol, Alexandria via LeMat-Bulk).

```
Sn3PtO
1.0
5.106 0.000 0.000
0.000 5.106 0.000
0.000 0.000 5.106
O Sn Pt
1 3 1
Direct
0.500 0.500 0.500
0.000 0.500 0.000
0.000 0.000 0.500
0.500 0.000 0.000
0.000 0.000 0.000
```

Output
E_form (uncorrected): 0.417 eV/atom

# 14
# Rb2Au2S

A geometry-optimized Rb2Au2S structure (PBEsol, Alexandria via LeMat-Bulk).

```
Rb2Au2S
1.0
-2.736 -2.522 -0.744
1.760 -2.555 2.185
-4.591 5.739 7.111
S Au Rb
1 2 2
Direct
0.000 0.000 0.000
0.250 0.750 0.500
0.750 0.250 0.500
0.406 0.406 0.812
0.594 0.594 0.188
```

Output
E_form (uncorrected): -0.378 eV/atom

# 15
# LiPdIN2

A geometry-optimized LiPdIN2 structure (PBEsol, Alexandria via LeMat-Bulk).

```
LiPdIN2
1.0
3.798 0.000 0.000
0.000 3.798 0.000
0.000 0.000 5.512
I Li Pd N
1 1 1 2
Direct
0.000 0.000 0.500
0.000 0.000 0.000
0.500 0.500 0.500
0.000 0.500 0.000
0.500 0.000 0.000
```

Output
E_form (uncorrected): 1.617 eV/atom

# 16
# YReSi4

A geometry-optimized YReSi4 structure (PBEsol, Alexandria via LeMat-Bulk).

```
YReSi4
1.0
5.019 0.000 0.000
2.510 4.347 0.000
2.510 1.449 4.098
Re Si Y
1 4 1
Direct
0.000 0.000 0.000
0.374 0.374 0.374
0.374 0.374 0.878
0.878 0.374 0.374
0.374 0.878 0.374
0.750 0.750 0.750
```

Output
E_form (uncorrected): 0.197 eV/atom

# 17
# BaMgAg

A geometry-optimized BaMgAg structure (PBEsol, Alexandria via LeMat-Bulk).

```
BaMgAg
1.0
-2.900 0.805 2.206
0.795 -2.962 2.126
4.688 4.571 1.341
Mg Ba Ag
1 1 1
Direct
0.625 0.625 0.249
0.342 0.342 0.684
0.033 0.033 0.067
```

Output
energy of formation from the pure elements: -0.118 eV per atom

# 18
# Mg2AsPt

A geometry-optimized Mg2AsPt structure (PBEsol, Alexandria via LeMat-Bulk).

```
Mg2AsPt
1.0
3.094 0.000 0.000
0.000 4.677 0.029
0.000 -0.743 4.618
As Mg Pt
1 2 1
Direct
0.500 0.500 0.500
0.000 0.500 0.000
0.000 0.000 0.500
0.500 0.000 0.000
```

Output
energy of formation from the pure elements: -0.538 eV per atom

# 19
# SiTcOs2

A geometry-optimized SiTcOs2 structure (PBEsol, Alexandria via LeMat-Bulk).

```
SiTcOs2
1.0
2.838 0.000 0.000
0.000 2.838 0.000
0.000 0.000 6.603
Si Os Tc
1 2 1
Direct
0.500 0.500 0.000
0.000 0.000 0.776
0.000 0.000 0.224
0.500 0.500 0.500
```

Output
E_form (uncorrected): -0.207 eV/atom

# 20
# BaSrV4Cu4O16

A geometry-optimized BaSrV4Cu4O16 structure (PBEsol, Alexandria via LeMat-Bulk).

```
BaSrV4Cu4O16
1.0
-3.409 4.705 -5.475
-9.173 -2.595 -2.340
-4.863 7.644 3.777
Ba Sr V Cu O
2 2 8 8 32
Direct
0.250 0.500 0.500
0.500 0.000 0.000
0.750 0.500 0.500
0.000 0.000 0.000
0.375 0.197 0.303
0.875 0.803 0.697
0.322 0.303 0.803
0.428 0.697 0.197
0.375 0.654 0.846
0.875 0.346 0.154
0.779 0.846 0.346
0.971 0.154 0.654
0.318 0.834 0.514
0.084 0.014 0.334
0.666 0.166 0.486
0.432 0.986 0.666
0.168 0.514 0.166
0.902 0.666 0.014
0.848 0.486 0.834
0.582 0.334 0.986
0.894 0.817 0.863
0.176 0.363 0.317
0.574 0.183 0.137
0.856 0.637 0.683
0.243 0.863 0.183
0.461 0.683 0.363
0.289 0.137 0.817
0.507 0.317 0.637
0.696 0.363 0.326
0.366 0.826 0.863
0.384 0.637 0.674
0.054 0.174 0.137
0.978 0.326 0.637
0.809 0.137 0.826
0.941 0.674 0.363
0.772 0.863 0.174
0.108 0.452 0.810
0.380 0.310 0.952
0.370 0.548 0.190
0.642 0.690 0.048
0.082 0.810 0.548
0.310 0.048 0.310
0.440 0.190 0.452
0.668 0.952 0.690
0.195 0.006 0.645
0.904 0.145 0.506
0.846 0.994 0.355
0.555 0.855 0.494
0.160 0.645 0.994
0.951 0.494 0.145
0.799 0.355 0.006
0.590 0.506 0.855
```

Output
E_form (uncorrected): -1.949 eV/atom